No. 1
VASP calculation (PBE-GGA) on a relaxed V2Ni4Pd3 crystal.

a = 4.947 Å, b = 7.082 Å, c = 7.082 Å
α = 75.62°, β = 83.85°, γ = 83.85°
Fractional positions:
V (0.627, 0.163, 0.388)
V (0.873, 0.612, 0.837)
V (0.373, 0.837, 0.612)
V (0.127, 0.388, 0.163)
Ni (0.550, 0.850, 0.299)
Ni (0.950, 0.701, 0.150)
Ni (0.450, 0.150, 0.701)
Ni (0.050, 0.299, 0.850)
Ni (0.106, 0.173, 0.483)
Ni (0.394, 0.517, 0.827)
Ni (0.894, 0.827, 0.517)
Ni (0.606, 0.483, 0.173)
Pd (0.079, 0.032, 0.187)
Pd (0.421, 0.813, 0.968)
Pd (0.921, 0.968, 0.813)
Pd (0.579, 0.187, 0.032)
Pd (0.250, 0.540, 0.460)
Pd (0.750, 0.460, 0.540)

Output
As for the uncorrected energy: -6.36 eV/atom. As for the symmetry: C2/c.

---

No. 2
VASP calculation (PBE-GGA) on a relaxed SrCuSeBr2 crystal.

a = 5.849 Å, b = 5.849 Å, c = 6.109 Å
α = 90.00°, β = 90.00°, γ = 90.00°
Site moments in Bohr magnetons follow the coordinates.
Fractional positions:
Sr (0.000, 0.000, 0.000)  0.00
Cu (0.500, 0.500, 0.500)  -0.01
Se (0.000, 0.000, 0.500)  0.57
Br (0.000, 0.500, 0.000)  0.05
Br (0.500, 0.000, 0.000)  0.05

Output
The uncorrected formation energy comes out at -246 meV per atom. The energy above the most stable polymorph in this dataset comes out at 15.98 kcal/mol of atoms. As for the symmetry: P4/mmm.

---

no.,volume (A^3/atom)
1,13.23
2,41.79